No. 1
Here is a relaxed KIn2Si crystal from Alexandria. Energies are from PBE.

Values from the calculation:
size of the total moment: 0.000 μB/f.u.
space group: No. 123

a b c (Å): 4.692 4.692 4.778
angles (deg): 90.00 90.00 90.00
Positions (direct):
K  0.000  0.000  0.000
In  0.000  0.500  0.500
In  0.500  0.000  0.500
Si  0.500  0.500  0.000



No. 2
Here is a relaxed KIn2Si crystal from Alexandria. Energies are from PBE.

Values from the calculation:
size of the total moment: 0.000 μB/f.u.
space group: No. 123

a b c (Å): 3.617 3.617 8.492
angles (deg): 90.00 90.00 90.00
Positions (direct):
K  0.000  0.000  0.000
In  0.500  0.500  0.314
In  0.500  0.500  0.686
Si  0.000  0.000  0.500



No. 3
Here is a relaxed KInSi crystal from Alexandria. Energies are from PBE.

Values from the calculation:
size of the total moment: 0.000 μB/f.u.
space group: No. 166

a b c (Å): 12.385 12.385 12.385
angles (deg): 20.98 20.98 20.98
Positions (direct):
K  0.107  0.107  0.107
K  0.893  0.893  0.893
In  0.363  0.363  0.363
In  0.637  0.637  0.637
Si  0.283  0.283  0.283
Si  0.717  0.717  0.717



No. 4
Here is a relaxed KInSi crystal from Alexandria. Energies are from PBE.

Values from the calculation:
size of the total moment: 0.000 μB/f.u.
space group: No. 1

a b c (Å): 3.843 6.435 7.875
angles (deg): 103.39 90.06 107.37
Positions (direct):
K  0.000  0.000  0.000
K  0.221  0.439  0.767
In  0.339  0.677  0.257
In  0.641  0.281  0.366
Si  0.490  0.979  0.602
Si  0.872  0.743  0.559



No. 5
Here is a relaxed KIn2Si crystal from Alexandria. Energies are from PBE.

Values from the calculation:
size of the total moment: 0.000 μB/f.u.
space group: No. 12

a b c (Å): 6.751 11.316 3.058
angles (deg): 90.00 114.82 90.00
Positions (direct):
K  0.000  0.000  0.000
K  0.500  0.500  0.000
In  0.250  0.250  0.500
In  0.250  0.750  0.500
In  0.750  0.250  0.500
In  0.750  0.750  0.500
Si  0.000  0.500  0.000
Si  0.500  0.000  0.000



No. 6
Here is a relaxed KInSi crystal from Alexandria. Energies are from PBE.

Values from the calculation:
size of the total moment: 0.000 μB/f.u.
space group: No. 44

a b c (Å): 3.250 4.121 12.630
angles (deg): 90.00 90.00 90.00
Positions (direct):
K  0.000  0.000  0.000
K  0.500  0.500  0.500
In  0.000  0.000  0.290
In  0.500  0.500  0.790
Si  0.000  0.000  0.692
Si  0.500  0.500  0.192



Computed values of formation energy without anion corrections (unit: eV/atom) for the preceding records, in sequence: 0.308; 0.121; 0.070; 0.031; 0.324; 0.224.
Computed values of density (unit: g/cm3) for the preceding records, in sequence: 4.69; 4.44; 2.83; 3.35; 4.65; 3.57.
Computed values of energy (unit: eV/atom) for the preceding records, in sequence: -2.691; -2.878; -3.017; -3.055; -2.676; -2.862.